Record 1
A plane-wave DFT calculation with GGA-PBE was carried out for a relaxed structure of TbTa2AlC4.

Cell lengths 5.7182, 5.7182, 11.1399 Å; angles 90.00, 90.00, 146.78 degrees
Fractional coordinates of all 16 atoms:
Tb 0.1119 0.8881 0.7500
Tb 0.8881 0.1119 0.2500
Ta 0.3686 0.6314 0.5434
Ta 0.3686 0.6314 0.9566
Ta 0.6314 0.3686 0.0434
Ta 0.6314 0.3686 0.4566
Al 0.1529 0.8471 0.2500
Al 0.8471 0.1529 0.7500
C 0.0000 0.0000 0.0000
C 0.0000 0.0000 0.5000
C 0.2629 0.7371 0.1114
C 0.2629 0.7371 0.3886
C 0.4428 0.5572 0.7500
C 0.5572 0.4428 0.2500
C 0.7371 0.2629 0.6114
C 0.7371 0.2629 0.8886

Results
As for the energy: -142.2 eV per cell.

=====

Record 2
A plane-wave DFT calculation with GGA-PBE was carried out for a relaxed structure of Sr3Nd5H12.

Cell lengths 12.2309, 12.2309, 12.2309 Å; angles 109.47, 109.47, 109.47 degrees
Fractional coordinates of all 80 atoms:
Sr 0.1250 0.2500 0.3750
Sr 0.1250 0.3750 0.7500
Sr 0.2500 0.3750 0.1250
Sr 0.2500 0.8750 0.6250
Sr 0.3750 0.1250 0.2500
Sr 0.3750 0.7500 0.1250
Sr 0.6250 0.2500 0.8750
Sr 0.6250 0.8750 0.7500
Sr 0.7500 0.1250 0.3750
Sr 0.7500 0.6250 0.8750
Sr 0.8750 0.6250 0.2500
Sr 0.8750 0.7500 0.6250
Nd 0.0000 0.0000 0.0000
Nd 0.0000 0.0000 0.5000
Nd 0.0000 0.5000 0.0000
Nd 0.0000 0.5000 0.5000
Nd 0.1250 0.7500 0.8750
Nd 0.1250 0.8750 0.2500
Nd 0.2500 0.1250 0.8750
Nd 0.2500 0.6250 0.3750
Nd 0.3750 0.2500 0.6250
Nd 0.3750 0.6250 0.7500
Nd 0.5000 0.0000 0.0000
Nd 0.5000 0.0000 0.5000
Nd 0.5000 0.5000 0.0000
Nd 0.5000 0.5000 0.5000
Nd 0.6250 0.3750 0.2500
Nd 0.6250 0.7500 0.3750
Nd 0.7500 0.3750 0.6250
Nd 0.7500 0.8750 0.1250
Nd 0.8750 0.1250 0.7500
Nd 0.8750 0.2500 0.1250
H 0.0511 0.2142 0.1482
H 0.0511 0.3368 0.9029
H 0.0660 0.7142 0.6632
H 0.0660 0.8518 0.4029
H 0.0971 0.6482 0.4340
H 0.0971 0.9489 0.6632
H 0.1482 0.0511 0.2142
H 0.1482 0.5971 0.9340
H 0.1632 0.2142 0.5660
H 0.1632 0.4489 0.5971
H 0.2142 0.1482 0.0511
H 0.2142 0.5660 0.1632
H 0.2858 0.3368 0.9340
H 0.2858 0.4489 0.3518
H 0.3368 0.9029 0.0511
H 0.3368 0.9340 0.2858
H 0.3518 0.2858 0.4489
H 0.3518 0.5660 0.9029
H 0.4029 0.0660 0.8518
H 0.4029 0.8368 0.5511
H 0.4340 0.0971 0.6482
H 0.4340 0.8368 0.7858
H 0.4489 0.3518 0.2858
H 0.4489 0.5971 0.1632
H 0.5511 0.4029 0.8368
H 0.5511 0.6482 0.7142
H 0.5660 0.1632 0.2142
H 0.5660 0.9029 0.3518
H 0.5971 0.1632 0.4489
H 0.5971 0.9340 0.1482
H 0.6482 0.4340 0.0971
H 0.6482 0.7142 0.5511
H 0.6632 0.0660 0.7142
H 0.6632 0.0971 0.9489
H 0.7142 0.5511 0.6482
H 0.7142 0.6632 0.0660
H 0.7858 0.4340 0.8368
H 0.7858 0.8518 0.9489
H 0.8368 0.5511 0.4029
H 0.8368 0.7858 0.4340
H 0.8518 0.4029 0.0660
H 0.8518 0.9489 0.7858
H 0.9029 0.0511 0.3368
H 0.9029 0.3518 0.5660
H 0.9340 0.1482 0.5971
H 0.9340 0.2858 0.3368
H 0.9489 0.6632 0.0971
H 0.9489 0.7858 0.8518

Results
As for the energy: -306.0 eV per cell.

=====

Record 3
A plane-wave DFT calculation with GGA-PBE was carried out for a relaxed structure of Cs4Pd.

Cell lengths 7.2394, 7.2394, 7.2394 Å; angles 90.00, 90.00, 90.00 degrees
Fractional coordinates of all 5 atoms:
Cs 0.0000 0.0000 0.0000
Cs 0.0000 0.5000 0.5000
Cs 0.5000 0.0000 0.5000
Cs 0.5000 0.5000 0.0000
Pd 0.5000 0.5000 0.5000

Results
As for the energy: -8.2 eV per cell.

=====

Number 1: density of states at the Fermi level 1.6 states/eV/cell, magnetic moment 0.00 μB/cell. Number 2: density of states at the Fermi level 41.0 states/eV/cell, magnetic moment 9.82 μB/cell. Number 3: density of states at the Fermi level 1.7 states/eV/cell, magnetic moment 0.00 μB/cell.